(1)
Compound: MnHgPd2
Source: the Alexandria database
Functional: PBE
Structure: optimized geometry

Calculated values
M_tot = 4.7 μB/f.u.
D(E_F) = 0.425 states/eV per atom
Formation energy from the elements = 125 meV per atom

a = 7.2175 Å, b = 7.2175 Å, c = 5.5892 Å
α = 90.00°, β = 90.00°, γ = 90.00°
Last column: nearest neighbours and their distance in Å.
Space group I-42d (No. 122)
Unique sites:
Mn (0.0000, 0.0000, 0.0000) [4 per cell]  4 Pd 2.54, 2 Hg 2.79
Hg (0.0000, 0.0000, 0.5000) [4 per cell]  4 Pd 2.76, 2 Mn 2.79
Pd (0.2271, 0.2500, 0.1250) [8 per cell]  2 Mn 2.54, 2 Hg 2.76, 2 Pd 2.81

***

(2)
Compound: MgSi
Source: the Alexandria database
Functional: PBE
Structure: optimized geometry

Calculated values
M_tot = 0.0 μB/f.u.
Raw formation energy = 326.0 meV per atom
D(E_F) = 0.761 states/eV per atom

a = 5.4414 Å, b = 5.4414 Å, c = 5.5872 Å
α = 90.00°, β = 90.00°, γ = 90.00°
Last column: nearest neighbours and their distance in Å.
Space group P4_2/mnm (No. 136)
Unique sites:
Mg (0.1884, 0.1884, 0.0000) [4 per cell]  6 Si 2.69-3.00, 1 Mg 2.90
Si (0.1585, 0.1585, 0.5000) [4 per cell]  1 Si 2.44, 2 Mg 2.69

***

(3)
Compound: CuRuPb2O6
Source: the Alexandria database
Functional: PBE
Structure: optimized geometry

Calculated values
M_tot = 1.2 μB/f.u.
Raw formation energy = -814.3 meV per atom
D(E_F) = 0.475 states/eV per atom

a = 5.7597 Å, b = 5.7597 Å, c = 29.2605 Å
α = 90.00°, β = 90.00°, γ = 120.00°
Last column: nearest neighbours and their distance in Å.
Space group R-3m (No. 166, hexagonal axes)
Unique sites:
Cu (0.0000, 0.0000, 0.1296) [6 per cell]  3 O 1.81
Ru (0.0000, 0.0000, 0.0000) [3 per cell]  6 O 1.96
Ru (0.0000, 0.0000, 0.5000) [3 per cell]  6 O 1.92
Pb (0.0000, 0.0000, 0.2397) [6 per cell]  3 O 2.38
Pb (0.0000, 0.0000, 0.3628) [6 per cell]  3 O 2.52
O (0.0006, 0.5003, 0.6313) [18 per cell]  1 Ru 1.96
O (0.0295, 0.5147, 0.2069) [18 per cell]  1 Cu 1.81, 1 Ru 1.92

***

(4)
Compound: LaAs2OsSe
Source: the Alexandria database
Functional: PBE
Structure: optimized geometry

Calculated values
M_tot = 0.3 μB/f.u.
Distance to the lowest polymorph of the same formula = 10.136 eV per formula unit
Raw formation energy = 1753.8 meV per atom
D(E_F) = 1.814 states/eV per atom

a = 5.6256 Å, b = 5.6256 Å, c = 5.4991 Å
α = 90.00°, β = 90.00°, γ = 90.00°
Last column: nearest neighbours and their distance in Å.
Space group P4/mmm (No. 123)
Unique sites:
La (0.0000, 0.0000, 0.0000) [1 per cell]  2 Se 2.75, 4 As 2.81
As (0.0000, 0.5000, 0.0000) [2 per cell]  2 La 2.81
Os (0.5000, 0.5000, 0.5000) [1 per cell]  8 As 3.93, 4 Se 3.98
Se (0.0000, 0.0000, 0.5000) [1 per cell]  2 La 2.75